Entry 1:
Compound: Ho3Hf3Bi2Os
Source: OQMD via LeMat-Bulk
Functional: GGA-PBE
Structure: relaxed

Calculated values
- Total magnetic moment: 0.7 Bohr magnetons per cell
- VASP energy: -7.463 eV per atom

```
Ho3Hf3Bi2Os
1.0
7.988 0.000 0.000
-3.994 6.918 0.000
0.000 0.000 4.098
Ho Hf Bi Os
3 3 2 1
direct
0.000 0.391 0.000
0.391 0.000 0.000
0.609 0.609 0.000
0.000 0.776 0.500
0.224 0.224 0.500
0.776 0.000 0.500
0.333 0.667 0.500
0.667 0.333 0.500
0.000 0.000 0.000
```

=====

Entry 2:
Compound: NaTbBr4
Source: OQMD via LeMat-Bulk
Functional: GGA-PBE
Structure: relaxed

Calculated values
- Total magnetic moment: 0.0 Bohr magnetons per cell
- VASP energy: -3.866 eV per atom

```
NaTbBr4
1.0
6.727 0.000 0.000
0.000 8.200 0.000
-0.248 0.000 7.181
Na Tb Br
2 2 8
direct
0.000 0.146 0.250
0.000 0.854 0.750
0.500 0.345 0.750
0.500 0.655 0.250
0.248 0.120 0.591
0.248 0.880 0.091
0.268 0.396 0.067
0.268 0.604 0.567
0.732 0.396 0.433
0.732 0.604 0.933
0.752 0.120 0.909
0.752 0.880 0.409
```

=====

Entry 3:
Compound: Er2TmMg3TlGa2
Source: OQMD via LeMat-Bulk
Functional: GGA-PBE
Structure: relaxed

Calculated values
- Total magnetic moment: 0.0 Bohr magnetons per cell
- VASP energy: -3.382 eV per atom

```
Er2TmMg3TlGa2
1.0
4.522 0.000 0.000
0.000 6.296 3.641
0.000 -6.296 3.641
Er Tm Mg Tl Ga
2 1 3 1 2
direct
0.000 0.219 0.781
0.000 0.781 0.219
0.000 0.657 0.657
0.500 0.219 0.470
0.500 0.470 0.219
0.500 0.969 0.969
0.000 0.220 0.220
0.500 0.553 0.885
0.500 0.885 0.553
```